Entry 1:
LiIr4Cl, relaxed, DFT GGA-PBEsol; space-group type = F-43m (216); energy relative to the elements, uncorrected = 0.850 eV/atom; uncorrected energy = -38.2 eV/cell
1.0
0.000 3.680 3.680
3.680 0.000 3.680
3.680 3.680 0.000
Li Ir Cl
1 4 1
direct
0.000 0.000 0.000
0.375 0.375 0.375
0.375 0.375 0.876
0.375 0.876 0.375
0.876 0.375 0.375
0.750 0.750 0.750

=====

Entry 2:
LiIrS2Cl, relaxed, DFT GGA-PBEsol; space-group type = P4/mmm (123); energy relative to the elements, uncorrected = -0.121 eV/atom; uncorrected energy = -23.2 eV/cell
1.0
4.526 0.000 0.000
0.000 4.526 0.000
0.000 0.000 5.185
Li Ir S Cl
1 1 2 1
direct
0.000 0.000 0.000
0.500 0.500 0.500
0.000 0.500 0.500
0.500 0.000 0.500
0.500 0.500 0.000

=====

Entry 3:
Li2IrSeCl, relaxed, DFT GGA-PBEsol; space-group type = P4/mmm (123); energy relative to the elements, uncorrected = -0.214 eV/atom; uncorrected energy = -20.7 eV/cell
1.0
4.189 0.000 0.000
0.000 4.189 0.000
0.000 0.000 4.666
Li Ir Se Cl
2 1 1 1
direct
0.000 0.500 0.000
0.500 0.000 0.000
0.000 0.000 0.500
0.500 0.500 0.500
0.000 0.000 0.000

=====

Entry 4:
MgIrCl2, relaxed, DFT GGA-PBEsol; space-group type = Cmmm (65); energy relative to the elements, uncorrected = 0.095 eV/atom; uncorrected energy = -15.2 eV/cell
1.0
1.645 -2.514 0.000
1.645 2.514 0.000
0.000 0.000 10.143
Mg Ir Cl
1 1 2
direct
0.000 0.000 0.000
0.000 0.000 0.500
0.500 0.500 0.162
0.500 0.500 0.838